No. 1
The following is a PBE-GGA calculation of a relaxed MnZn8Cu6 crystal, from the Alexandria database.

Structure (extended XYZ):
```
15
Lattice="5.0042 0.0000 0.0000 0.0000 6.2138 -3.5876 0.0000 0.0000 7.1751" Properties=species:S:1:pos:R:3 pbc="T T T"
Zn 0.6816 2.0289 1.1614
Cu 1.8034 2.0792 5.9131
Zn 0.6816 6.2052 1.2497
Mn 2.5021 0.0000 0.0000
Cu 1.8034 0.0533 2.4317
Cu 3.2008 2.1325 1.1697
Zn 4.3227 0.0087 2.3378
Zn 0.6816 4.1936 -2.4111
Zn 2.7252 2.0713 3.5876
Zn 4.3227 2.0203 5.9987
Cu 3.2008 6.1605 1.1559
Zn 4.3227 4.1849 2.4262
Cu 3.2008 4.1346 -2.3256
Zn 2.2791 4.1426 0.0000
Cu 1.8034 4.0813 2.4179
```

=====

No. 2
The following is a PBE-GGA calculation of a relaxed Mn2ZnCu crystal, from the Alexandria database.

Structure (extended XYZ):
```
4
Lattice="4.5087 -0.0051 0.0000 -1.2081 4.3438 0.0000 0.0000 0.0000 2.7526" Properties=species:S:1:pos:R:3 pbc="T T T"
Mn 1.6503 2.1693 0.0000
Cu -0.6041 2.1719 1.3763
Mn 0.0000 0.0000 0.0000
Zn 2.2543 -0.0026 1.3763
```

=====

No. 3
The following is a PBE-GGA calculation of a relaxed MnZn2Cu crystal, from the Alexandria database.

Structure (extended XYZ):
```
4
Lattice="-0.1682 3.7438 -2.0536 -2.9512 -1.4692 -2.7192 -0.5901 -0.2246 4.2265" Properties=species:S:1:pos:R:3 pbc="T T T"
Mn -1.1590 2.3283 -0.1068
Zn -2.5505 -0.2782 -0.4395
Cu -1.5597 1.1373 -2.3864
Zn 0.0000 0.0000 0.0000
```

=====

No. 4
The following is a PBE-GGA calculation of a relaxed MnZnCu6 crystal, from the Alexandria database.

Calculated values
Offset from the most stable computed form ... 0.00 kcal/mol of atoms

Structure (extended XYZ):
```
8
Lattice="3.4924 0.0000 0.9534 1.6024 4.0987 1.0037 -0.0195 -0.0779 6.9447" Properties=species:S:1:pos:R:3 pbc="T T T"
Cu 2.2648 3.5348 5.4504
Cu 2.9426 3.0569 2.9671
Cu 2.8104 0.4860 3.4513
Cu 1.4701 1.5319 1.4879
Zn 0.0000 0.0000 0.0000
Mn 0.7914 2.0104 3.9742
Cu 3.6051 2.4889 7.4138
Cu 2.1326 0.9639 5.9346
```

=====

No. 5
The following is a PBE-GGA calculation of a relaxed Mn2Zn9Cu crystal, from the Alexandria database.

Structure (extended XYZ):
```
12
Lattice="5.7012 -1.8364 0.2524 0.9763 4.6171 0.4954 -0.8840 0.1859 6.0298" Properties=species:S:1:pos:R:3 pbc="T T T"
Mn 0.2323 1.1087 3.6682
Zn 1.7632 0.5705 5.7490
Mn 5.5611 1.8579 3.1094
Cu 0.0000 0.0000 0.0000
Zn 2.4957 4.0582 2.5721
Zn 4.5627 0.9374 5.4559
Zn 4.3295 -0.2160 1.8370
Zn 4.0302 2.3961 1.0286
Zn 2.8967 1.4833 3.3888
Zn 1.4639 3.1826 4.9406
Zn 1.2308 2.0292 1.3217
Zn 3.2977 -1.0916 4.2055
```

=====

No. 6
The following is a PBE-GGA calculation of a relaxed Mn2ZnCu crystal, from the Alexandria database.

Structure (extended XYZ):
```
4
Lattice="2.5061 0.3044 0.0000 -0.5916 2.4542 0.0000 0.0000 0.0000 7.6876" Properties=species:S:1:pos:R:3 pbc="T T T"
Zn 0.0000 0.0000 3.8248
Mn 0.9573 1.3793 1.8392
Mn 0.0000 0.0000 0.0535
Cu 0.9573 1.3793 5.8139
```

=====

Number 1: formation energy 0.02 eV/atom, ρ 7141 kg/m³. Number 2: formation energy 0.14 eV/atom, ρ 7359 kg/m³. Number 3: formation energy 0.01 eV/atom, ρ 7628 kg/m³. Number 4: formation energy 0.00 eV/atom, ρ 8360 kg/m³. Number 5: formation energy 0.02 eV/atom, ρ 7405 kg/m³. Number 6: formation energy 0.15 eV/atom, ρ 8149 kg/m³.